Record 1
VASP calculation (GGA-PBE) on an optimized crystal structure of NdSmLuSc.

## Properties
crystal system = cubic
spin magnetization = 0.00 μB/f.u.
calculated formation energy = 0.086 eV/atom

POSCAR file:
```
NdSmLuSc
1.0
-4.894 1.698 2.071
-4.726 -1.102 -2.751
-3.611 -3.731 2.041
Sc Lu Nd Sm
1 1 1 1
direct
0.250 0.250 0.250
0.750 0.750 0.750
0.000 0.000 0.000
0.500 0.500 0.500
```

=====

Record 2
VASP calculation (GGA-PBE) on an optimized crystal structure of NdLuScSn.

## Properties
crystal system = cubic
spin magnetization = 0.00 μB/f.u.
calculated formation energy = -0.232 eV/atom

POSCAR file:
```
NdLuScSn
1.0
-1.818 -2.987 3.994
3.390 -2.782 2.991
0.910 1.448 5.025
Sc Lu Nd Sn
1 1 1 1
direct
0.500 0.500 0.500
0.750 0.750 0.750
0.000 0.000 0.000
0.250 0.250 0.250
```